[1]
Below is TePO5 after structural relaxation, with properties calculated at the GGA-PBEsol level.

POSCAR file:
```
TePO5
1.0
7.505 0.000 0.000
0.000 6.557 0.000
0.000 0.000 7.507
Te P O
4 4 20
direct
0.129 0.250 0.247
0.371 0.750 0.747
0.629 0.250 0.253
0.871 0.750 0.753
0.128 0.750 0.129
0.372 0.250 0.629
0.628 0.750 0.371
0.872 0.250 0.871
0.047 0.250 0.981
0.119 0.750 0.674
0.130 0.565 0.255
0.130 0.935 0.255
0.203 0.250 0.511
0.297 0.750 0.011
0.370 0.065 0.755
0.370 0.435 0.755
0.381 0.250 0.174
0.453 0.750 0.481
0.547 0.250 0.519
0.619 0.750 0.826
0.630 0.565 0.245
0.630 0.935 0.245
0.703 0.250 0.989
0.797 0.750 0.489
0.870 0.065 0.745
0.870 0.435 0.745
0.881 0.250 0.326
0.953 0.750 0.019
```

Calculated values
As for the energy: -6.58 eV/atom. The density is 4289 kg/m³. The calculation puts the uncorrected formation energy at -144.9 kJ per mole of atoms.

[2]
Below is Na3CoPCO7 after structural relaxation, with properties calculated at the GGA-PBEsol level.

POSCAR file:
```
Na3CoPCO7
1.0
5.132 0.000 0.000
0.000 6.549 0.000
-0.146 0.000 8.890
Na Co P C O
6 2 2 2 14
direct
0.235 0.250 0.082
0.252 0.504 0.730
0.252 0.996 0.730
0.748 0.004 0.270
0.748 0.496 0.270
0.765 0.750 0.918
0.222 0.750 0.346
0.778 0.250 0.654
0.293 0.250 0.415
0.707 0.750 0.585
0.274 0.750 0.061
0.726 0.250 0.939
0.048 0.750 0.125
0.144 0.250 0.564
0.224 0.061 0.316
0.224 0.439 0.316
0.290 0.750 0.917
0.408 0.750 0.551
0.480 0.750 0.147
0.520 0.250 0.853
0.592 0.250 0.449
0.710 0.250 0.083
0.776 0.561 0.684
0.776 0.939 0.684
0.856 0.750 0.436
0.952 0.250 0.875
```

Calculated values
The offset from the most stable computed form is 0.000 eV per atom. As for the energy: -6.71 eV/atom. The density is 3144 kg/m³. The calculation puts the uncorrected formation energy at -171.8 kJ per mole of atoms.

[3]
Below is CaSiSb2 after structural relaxation, with properties calculated at the GGA-PBEsol level.

POSCAR file:
```
CaSiSb2
1.0
3.970 0.000 0.000
0.000 3.970 0.000
0.000 0.000 6.173
Ca Si Sb
1 1 2
direct
0.000 0.000 0.000
0.000 0.000 0.500
0.500 0.500 0.269
0.500 0.500 0.731
```

Calculated values
As for the energy: -4.42 eV/atom. The density is 5320 kg/m³. The calculation puts the uncorrected formation energy at -16.3 kJ per mole of atoms.

[4]
Below is SiCIF2 after structural relaxation, with properties calculated at the GGA-PBEsol level.

POSCAR file:
```
SiCIF2
1.0
3.764 0.000 0.000
0.000 3.764 0.000
0.000 0.000 5.744
Si C I F
1 1 1 2
direct
0.000 0.000 0.000
0.500 0.500 0.500
0.000 0.000 0.500
0.000 0.500 0.000
0.500 0.000 0.000
```

Calculated values
As for the energy: -4.21 eV/atom. The density is 4182 kg/m³. The calculation puts the uncorrected formation energy at -0.6 kJ per mole of atoms.

[5]
Below is CoMo2Pt after structural relaxation, with properties calculated at the GGA-PBEsol level.

POSCAR file:
```
CoMo2Pt
1.0
-1.863 1.863 3.946
1.863 -1.863 3.946
1.863 1.863 -3.946
Co Mo Pt
1 2 1
direct
0.000 0.000 0.000
0.250 0.750 0.500
0.750 0.250 0.500
0.500 0.500 0.000
```

Calculated values
The offset from the most stable computed form is 0.001 eV per atom. As for the energy: -9.72 eV/atom. The density is 13511 kg/m³. Its formation energy is -0.160 eV per atom.

[6]
Below is InMo after structural relaxation, with properties calculated at the GGA-PBEsol level.

POSCAR file:
```
InMo
1.0
2.962 0.000 0.000
-1.481 2.565 0.000
0.000 0.000 4.672
In Mo
1 1
direct
0.000 0.000 0.000
0.333 0.667 0.500
```

Calculated values
The offset from the most stable computed form is 0.195 eV per atom. As for the energy: -6.97 eV/atom. The density is 9858 kg/m³. Its formation energy is 0.409 eV per atom.

[7]
Below is Fe3AgPb after structural relaxation, with properties calculated at the GGA-PBEsol level.

POSCAR file:
```
Fe3AgPb
1.0
4.796 0.000 0.000
0.000 4.796 0.000
0.000 0.000 4.796
Fe Ag Pb
3 1 1
direct
0.000 0.000 0.500
0.000 0.500 0.000
0.500 0.000 0.000
0.500 0.500 0.500
0.000 0.000 0.000
```

Calculated values
As for the energy: -5.00 eV/atom. The density is 7264 kg/m³. Its formation energy is 1.845 eV per atom.

[8]
Below is InOs2Cl after structural relaxation, with properties calculated at the GGA-PBEsol level.

POSCAR file:
```
InOs2Cl
1.0
-1.392 2.112 6.034
1.392 -2.112 6.034
1.392 2.112 -6.034
In Os Cl
1 2 1
direct
0.000 0.000 0.000
0.226 0.726 0.500
0.401 0.401 0.000
0.702 0.202 0.500
```

Calculated values
The offset from the most stable computed form is 0.052 eV per atom. As for the energy: -6.49 eV/atom. The density is 12423 kg/m³. The calculation puts the uncorrected formation energy at 83.3 kJ per mole of atoms.

The highest energy belongs to which entry?
SiCIF2